Li4MnFe3P4O16, relaxed, DFT PBE with a Hubbard U; N(E_F) = 0.000 states/eV per atom; total DFT energy (no corrections) = -6.919 eV per atom; crystal system = orthorhombic; calculated volume = 10.9 A^3/atom; total moment = 17.1 μB per formula unit
1.0
12.208 0.000 0.000
0.000 4.762 0.000
0.000 0.000 10.488
Li Mn Fe P O
8 2 6 8 32
direct
0.125 0.246 0.000
0.127 0.752 0.498
0.373 0.248 0.998
0.375 0.754 0.500
0.625 0.754 0.500
0.627 0.248 0.998
0.873 0.752 0.498
0.875 0.246 0.000
0.000 0.271 0.718
0.500 0.729 0.218
0.000 0.724 0.217
0.250 0.224 0.280
0.250 0.776 0.780
0.500 0.276 0.717
0.750 0.224 0.280
0.750 0.776 0.780
0.000 0.165 0.402
0.000 0.828 0.907
0.249 0.663 0.092
0.251 0.337 0.592
0.500 0.172 0.407
0.500 0.835 0.902
0.749 0.337 0.592
0.751 0.663 0.092
0.000 0.042 0.539
0.000 0.488 0.399
0.000 0.506 0.905
0.000 0.955 0.044
0.101 0.032 0.331
0.101 0.960 0.837
0.147 0.533 0.162
0.151 0.473 0.663
0.249 0.540 0.955
0.250 0.014 0.595
0.250 0.986 0.095
0.251 0.460 0.455
0.349 0.527 0.163
0.353 0.467 0.662
0.399 0.040 0.337
0.399 0.968 0.831
0.500 0.045 0.544
0.500 0.494 0.405
0.500 0.512 0.899
0.500 0.958 0.039
0.601 0.040 0.337
0.601 0.968 0.831
0.647 0.467 0.662
0.651 0.527 0.163
0.749 0.460 0.455
0.750 0.014 0.595
0.750 0.986 0.095
0.751 0.540 0.955
0.849 0.473 0.663
0.853 0.533 0.162
0.899 0.032 0.331
0.899 0.960 0.837